[1]
A geometry-optimized Dy4ReO10 structure. Source: Alexandria, functional PBE.

The density of states at the Fermi level is 9.04 states/eV/f.u. The value obtained for the energy is -239.56 eV for the cell shown. As for the total moment: 0.0 μB/f.u.

The structure belongs to space group I4/m (No. 87); the cell edges are 8.328, 8.328 and 5.318 Å and the angles 90.00°, 90.00° and 90.00°. The distinct sites, in fractional coordinates, are Dy at (0.098, 0.304, 0.000), Re at (0.000, 0.000, 0.500), O at (0.000, 0.500, 0.250) and O at (0.095, 0.821, 0.275).

---

[2]
A geometry-optimized SmDy2ReO8 structure. Source: Alexandria, functional PBE.

The value obtained for the energy is -198.54 eV for the cell shown. As for the total moment: 0.0 μB/f.u.

The structure belongs to space group Cmmm (No. 65); the cell edges are 7.161, 7.173 and 6.825 Å and the angles 90.00°, 90.00° and 90.00°. The distinct sites, in fractional coordinates, are Sm at (0.000, 0.000, 0.000), Dy at (0.000, 0.500, 0.249), Re at (0.000, 0.000, 0.500), O at (0.000, 0.183, 0.297), O at (0.188, 0.500, 0.000) and O at (0.234, 0.500, 0.500).

---

[3]
A geometry-optimized DyTlReO6 structure. Source: Alexandria, functional PBE.

The density of states at the Fermi level is 3.75 states/eV/f.u. The value obtained for the energy is -65.73 eV for the cell shown. As for the total moment: 0.0 μB/f.u.

The structure belongs to space group P312 (No. 149); the cell edges are 5.6034, 5.6034 and 4.9661 Å and the angles 90.00°, 90.00° and 120.00°. The distinct sites, in fractional coordinates, are Dy at (0.0000, 0.0000, 0.0000), Tl at (0.6667, 0.3333, 0.5000), Re at (0.3333, 0.6667, 0.0000) and O at (0.0607, 0.3773, 0.2175).

---

[4]
A geometry-optimized DyTl2ReO6 structure. Source: Alexandria, functional PBE.

The value obtained for the energy is -68.41 eV for the cell shown. As for the total moment: 0.0 μB/f.u.

The structure belongs to space group P-3m1 (No. 164); the cell edges are 6.5486, 6.5486 and 5.8231 Å and the angles 90.00°, 90.00° and 120.00°. The distinct sites, in fractional coordinates, are Dy at (0.0000, 0.0000, 0.0000), Tl at (0.3333, 0.6667, 0.4762), Re at (0.0000, 0.0000, 0.5000) and O at (0.1332, 0.2663, 0.7018).

---

[5]
A geometry-optimized Dy2TlReO8 structure. Source: Alexandria, functional PBE.

The value obtained for the energy is -180.25 eV for the cell shown. As for the total moment: 0.0 μB/f.u.

The structure belongs to space group Cmmm (No. 65); the cell edges are 6.792, 7.138 and 7.080 Å and the angles 90.00°, 90.00° and 90.00°. The distinct sites, in fractional coordinates, are Dy at (0.000, 0.000, 0.244), Tl at (0.000, 0.500, 0.500), Re at (0.000, 0.500, 0.000), O at (0.000, 0.316, 0.193), O at (0.200, 0.000, 0.500) and O at (0.218, 0.000, 0.000).

---

[6]
A geometry-optimized DyTlRe2O8 structure. Source: Alexandria, functional PBE.

The density of states at the Fermi level is 6.83 states/eV/f.u. The value obtained for the energy is -93.60 eV for the cell shown. As for the total moment: 2.0 μB/f.u.

The structure belongs to space group P-3m1 (No. 164); the cell edges are 6.0602, 6.0602 and 7.7475 Å and the angles 90.00°, 90.00° and 120.00°. The distinct sites, in fractional coordinates, are Dy at (0.0000, 0.0000, 0.0000), Tl at (0.0000, 0.0000, 0.5000), Re at (0.3333, 0.6667, 0.2548), O at (0.1710, 0.3419, 0.1758) and O at (0.3333, 0.6667, 0.4824).